Record 1
DFT (GGA-PBEsol) results for Na2Si2S5 after structural relaxation.

a b c (Å): 12.6847 12.5669 10.3127
angles (deg): 90.00 90.00 90.00
Closest atoms and distances in Å follow each position.
Space group Cmcm (No. 63)
Asymmetric unit:
Na1 0.1509 0.0000 0.0000 x8  4 S 2.82-2.88
Na2 0.1655 0.2529 0.2500 x8  3 S 2.89-2.98
Si1 0.0000 0.2532 0.5832 x8  4 S 2.07-2.16
Si2 0.1353 0.4495 0.7500 x8  4 S 2.05-2.16
S1 0.0000 0.1520 0.7500 x4  2 Si 2.14
S2 0.0000 0.1582 0.0804 x8  1 Si 2.07
S3 0.0000 0.4492 0.2500 x4  2 Si 2.14
S4 0.1404 0.3500 0.5796 x16  2 Si 2.16
S5 0.2313 0.0421 0.7500 x8  1 Si 2.05

Properties
- Total magnetization: 0.00 μB per formula unit
- E_form (uncorrected): -0.926 eV/atom
- Raw total energy: -4.95 eV/atom
- V: 22.8 Å³/atom

=====

Record 2
DFT (GGA-PBEsol) results for BaPr2CoS5 after structural relaxation.

a b c (Å): 7.7899 7.7899 13.2684
angles (deg): 90.00 90.00 90.00
Closest atoms and distances in Å follow each position.
Space group I4/mcm (No. 140)
Asymmetric unit:
Ba1 0.0000 0.0000 0.2500 x4  10 S 3.32-3.34
Pr1 0.1616 0.3384 0.0000 x8  8 S 2.79-3.01
Co1 0.0000 0.5000 0.2500 x4  4 S 2.20
S1 0.0000 0.0000 0.0000 x4  4 Pr 2.92
S2 0.1460 0.3540 0.3628 x16  1 Co 2.20

Properties
- Total magnetization: 2.99 μB per formula unit
- E_form (uncorrected): -1.697 eV/atom
- Raw total energy: -6.38 eV/atom
- V: 22.4 Å³/atom

=====

Record 3
DFT (GGA-PBEsol) results for SnPd after structural relaxation.

a b c (Å): 6.1300 3.9083 6.3001
angles (deg): 90.00 90.00 90.00
Closest atoms and distances in Å follow each position.
Space group Pnma (No. 62)
Asymmetric unit:
Sn1 0.1885 0.2500 0.0949 x4  6 Pd 2.65-2.80
Pd1 0.0116 0.2500 0.6850 x4  6 Sn 2.65-2.80

Properties
- Formation energy: -0.562 eV/atom
- Total magnetization: 0.00 μB per formula unit
- Raw total energy: -5.67 eV/atom
- V: 18.9 Å³/atom

=====

Record 4
DFT (GGA-PBEsol) results for CdIn2W after structural relaxation.

a b c (Å): 3.0598 3.0598 29.1700
angles (deg): 90.00 90.00 120.00
Closest atoms and distances in Å follow each position.
Space group R-3m (No. 166, hexagonal axes)
Asymmetric unit:
Cd1 0.0000 0.0000 0.0000 x3  6 Cd 3.06, 6 In 3.11
In1 0.0000 0.0000 0.2457 x6  3 W 2.91, 6 In 3.06, 3 Cd 3.11
W1 0.0000 0.0000 0.5000 x3  6 In 2.91, 6 W 3.06

Properties
- Formation energy: 0.424 eV/atom
- Total magnetization: 0.00 μB per formula unit
- Raw total energy: -4.82 eV/atom
- V: 19.7 Å³/atom

=====

Record 5
DFT (GGA-PBEsol) results for MgAlCd2 after structural relaxation.

a b c (Å): 3.0890 5.0970 5.3964
angles (deg): 79.58 89.94 72.92
Closest atoms and distances in Å follow each position.
Space group P-1 (No. 2)
Asymmetric unit:
Mg1 0.0000 0.0000 0.0000 x1  6 Cd 2.99-3.01, 2 Mg 3.09, 4 Al 3.11
Al1 0.5000 0.0000 0.5000 x1  6 Cd 2.95-3.01, 2 Al 3.09, 4 Mg 3.11
Cd1 0.2510 0.5032 0.7475 x2  3 Al 2.95-3.01, 3 Mg 2.99-3.01, 6 Cd 3.08-3.13

Properties
- Formation energy: 0.007 eV/atom
- Total magnetization: 0.00 μB per formula unit
- Raw total energy: -2.04 eV/atom
- V: 19.9 Å³/atom

=====

Record 6
DFT (GGA-PBEsol) results for Mn3Sb2I4O4 after structural relaxation.

a b c (Å): 6.4306 13.3212 14.9746
angles (deg): 90.00 90.00 90.00
Closest atoms and distances in Å follow each position.
Space group Cmce (No. 64)
Asymmetric unit:
Mn1 0.0000 0.0000 0.0000 x4  2 O 1.96
Mn2 0.2500 0.0107 0.2500 x8  2 O 1.99
Sb1 0.0000 0.1044 0.4433 x8  3 O 1.98-2.05
I1 0.0000 0.1336 0.8405 x8  3 Mn 2.85-2.98
I2 0.0000 0.1683 0.1215 x8  1 Mn 2.89
O1 0.0000 0.0378 0.3248 x8  1 Sb 1.98, 2 Mn 1.99
O2 0.1945 0.0000 0.5000 x8  1 Mn 1.96, 2 Sb 2.05

Properties
- Total magnetization: 15.00 μB per formula unit
- E_form (uncorrected): -0.879 eV/atom
- Raw total energy: -5.99 eV/atom
- V: 24.7 Å³/atom

=====

Record 7
DFT (GGA-PBEsol) results for Mg2CrGaPt after structural relaxation.

a b c (Å): 4.8359 4.8359 4.6002
angles (deg): 90.00 90.00 90.00
Closest atoms and distances in Å follow each position.
Space group P4/mmm (No. 123)
Asymmetric unit:
Mg1 0.0000 0.5000 0.0000 x2  2 Ga 2.42
Cr1 0.0000 0.0000 0.5000 x1  8 Mg 3.34, 4 Pt 3.42
Ga1 0.5000 0.5000 0.0000 x1  2 Pt 2.30, 4 Mg 2.42
Pt1 0.5000 0.5000 0.5000 x1  2 Ga 2.30

Properties
- Formation energy: 0.589 eV/atom
- Total magnetization: 4.57 μB per formula unit
- Raw total energy: -4.21 eV/atom
- V: 21.5 Å³/atom

=====

Record 8
DFT (GGA-PBEsol) results for TaPRu3 after structural relaxation.

a b c (Å): 4.2555 4.2555 4.2555
angles (deg): 90.00 90.00 90.00
Closest atoms and distances in Å follow each position.
Space group Pm-3m (No. 221)
Asymmetric unit:
Ta1 0.0000 0.0000 0.0000 x1  12 Ru 3.01
P1 0.5000 0.5000 0.5000 x1  6 Ru 2.13
Ru1 0.0000 0.5000 0.5000 x3  2 P 2.13

Properties
- Formation energy: 0.299 eV/atom
- Total magnetization: 0.00 μB per formula unit
- Raw total energy: -9.47 eV/atom
- V: 15.4 Å³/atom

=====

Record 9
DFT (GGA-PBEsol) results for TlTc2Mo after structural relaxation.

a b c (Å): 3.1120 4.6629 8.8809
angles (deg): 90.00 90.00 90.00
Closest atoms and distances in Å follow each position.
Space group Immm (No. 71)
Asymmetric unit:
Tl1 0.0000 0.0000 0.0000 x2  4 Mo 2.80, 8 Tc 2.86-3.10, 2 Tl 3.11
Tc1 0.0000 0.5000 0.2301 x4  2 Mo 2.57, 4 Tc 2.83, 2 Tl 2.86
Mo1 0.0000 0.0000 0.5000 x2  4 Tc 2.57, 4 Tl 2.80

Properties
- Formation energy: 0.547 eV/atom
- Total magnetization: 0.00 μB per formula unit
- Raw total energy: -8.69 eV/atom
- V: 16.1 Å³/atom

=====

Record 10
DFT (GGA-PBEsol) results for Ca3WS after structural relaxation.

a b c (Å): 5.2544 5.2544 5.2544
angles (deg): 90.00 90.00 90.00
Closest atoms and distances in Å follow each position.
Space group Pm-3m (No. 221)
Asymmetric unit:
Ca1 0.0000 0.0000 0.5000 x3  2 W 2.63
W1 0.0000 0.0000 0.0000 x1  6 Ca 2.63
S1 0.5000 0.5000 0.5000 x1  12 Ca 3.72

Properties
- Total magnetization: 0.00 μB per formula unit
- E_form (uncorrected): 0.838 eV/atom
- Raw total energy: -4.08 eV/atom
- V: 29.0 Å³/atom

=====

Record 11
DFT (GGA-PBEsol) results for HfSc2Cr after structural relaxation.

a b c (Å): 6.8202 6.8202 6.8202
angles (deg): 90.00 90.00 90.00
Closest atoms and distances in Å follow each position.
Space group Fm-3m (No. 225)
Asymmetric unit:
Hf1 0.0000 0.0000 0.0000 x4  8 Sc 2.95
Sc1 0.2500 0.2500 0.2500 x8  4 Cr 2.95, 4 Hf 2.95
Cr1 0.0000 0.0000 0.5000 x4  8 Sc 2.95

Properties
- Formation energy: 0.388 eV/atom
- Total magnetization: 1.42 μB per formula unit
- Raw total energy: -8.10 eV/atom
- V: 19.8 Å³/atom

=====

Record 12
DFT (GGA-PBEsol) results for Ba2LaTcS after structural relaxation.

a b c (Å): 6.2602 6.2602 4.5488
angles (deg): 90.00 90.00 90.00
Closest atoms and distances in Å follow each position.
Space group P4/mmm (No. 123)
Asymmetric unit:
Ba1 0.0000 0.5000 0.0000 x2  2 La 3.13
La1 0.0000 0.0000 0.0000 x1  2 Tc 2.27
Tc1 0.0000 0.0000 0.5000 x1  2 La 2.27
S1 0.5000 0.5000 0.5000 x1  8 Ba 3.87

Properties
- Total magnetization: 0.00 μB per formula unit
- E_form (uncorrected): 0.520 eV/atom
- Raw total energy: -4.54 eV/atom
- V: 35.7 Å³/atom

=====

Record 13
DFT (GGA-PBEsol) results for FePdI2N after structural relaxation.

a b c (Å): 5.5392 5.5392 3.6752
angles (deg): 90.00 90.00 90.00
Closest atoms and distances in Å follow each position.
Space group P4/mmm (No. 123)
Asymmetric unit:
Fe1 0.0000 0.0000 0.0000 x1  8 I 3.32, 2 Fe 3.68
Pd1 0.5000 0.5000 0.5000 x1  2 N 1.84
I1 0.0000 0.5000 0.5000 x2  2 Pd 2.77
N1 0.5000 0.5000 0.0000 x1  2 Pd 1.84

Properties
- Total magnetization: 3.45 μB per formula unit
- E_form (uncorrected): 0.987 eV/atom
- Raw total energy: -4.41 eV/atom
- V: 22.6 Å³/atom

=====

Record 14
DFT (GGA-PBEsol) results for Mo2Ru after structural relaxation.

a b c (Å): 9.5111 9.5111 4.8955
angles (deg): 90.00 90.00 90.00
Closest atoms and distances in Å follow each position.
Space group P4_2/mnm (No. 136)
Asymmetric unit:
Mo1 0.0389 0.3711 0.0000 x8  2 Mo 2.56-2.60, 4 Ru 2.66-2.67
Mo2 0.1061 0.1061 0.0000 x4  3 Mo 2.60-2.85, 6 Ru 2.83-2.89
Mo3 0.1779 0.8221 0.2486 x8  2 Mo 2.43-2.46, 1 Ru 2.69
Ru1 0.0000 0.0000 0.5000 x2  4 Ru 2.60, 8 Mo 2.69-2.83
Ru2 0.0700 0.2645 0.5000 x8  2 Ru 2.60-2.62, 10 Mo 2.66-2.89

Properties
- Formation energy: 0.021 eV/atom
- Total magnetization: 0.00 μB per formula unit
- Raw total energy: -11.21 eV/atom
- V: 14.8 Å³/atom

=====

Record 15
DFT (GGA-PBEsol) results for Y4RuAu after structural relaxation.

a b c (Å): 8.2170 8.2170 8.2170
angles (deg): 90.00 90.00 90.00
Closest atoms and distances in Å follow each position.
Space group F-43m (No. 216)
Asymmetric unit:
Y1 0.1243 0.1243 0.1243 x16  6 Y 2.89-2.92
Ru1 0.2500 0.2500 0.7500 x4  12 Y 3.40, 4 Au 3.56
Au1 0.0000 0.0000 0.5000 x4  12 Y 3.41, 4 Ru 3.56

Properties
- Formation energy: 0.680 eV/atom
- Total magnetization: 0.01 μB per formula unit
- Raw total energy: -6.22 eV/atom
- V: 23.1 Å³/atom

=====

Record 16
DFT (GGA-PBEsol) results for Zn2BiPO6 after structural relaxation.

a b c (Å): 11.8904 5.2767 7.8207
angles (deg): 90.00 90.00 90.00
Closest atoms and distances in Å follow each position.
Space group Pnma (No. 62)
Asymmetric unit:
Zn1 0.0914 0.2500 0.2020 x4  5 O 2.02-2.07
Zn2 0.1025 0.2500 0.8065 x4  5 O 1.98-2.09
Bi1 0.1005 0.7500 0.4845 x4  4 O 2.21-2.28
P1 0.1989 0.7500 0.0295 x4  4 O 1.53-1.56
O1 0.0071 0.0026 0.6736 x8  2 Zn 2.02, 1 Bi 2.21
O2 0.1267 0.5047 0.0073 x8  1 P 1.56
O3 0.2029 0.2500 0.4023 x4  1 P 1.53
O4 0.2418 0.7500 0.2164 x4  1 P 1.55

Properties
- Total magnetization: 0.00 μB per formula unit
- E_form (uncorrected): -1.731 eV/atom
- Raw total energy: -6.20 eV/atom
- V: 12.3 Å³/atom

=====

Record 17
DFT (GGA-PBEsol) results for Tl2CdSb after structural relaxation.

a b c (Å): 10.5047 3.2303 6.3847
angles (deg): 90.00 98.04 90.00
Closest atoms and distances in Å follow each position.
Space group Cm (No. 8)
Asymmetric unit:
Tl1 0.0000 0.0000 0.0000 x2  5 Tl 3.23-3.39, 3 Sb 3.31-3.40, 2 Cd 3.52
Tl2 0.2420 0.0000 0.7367 x2  5 Tl 3.23-3.39, 3 Cd 3.24-3.31, 2 Sb 3.38
Cd1 0.4988 0.0000 0.4888 x2  3 Sb 3.17-3.19, 2 Cd 3.23, 5 Tl 3.24-3.52
Sb1 0.2553 0.5000 0.2748 x2  3 Cd 3.17-3.19, 2 Sb 3.23, 5 Tl 3.31-3.40

Properties
- Total magnetization: 0.00 μB per formula unit
- E_form (uncorrected): 0.057 eV/atom
- Raw total energy: -2.70 eV/atom
- V: 26.8 Å³/atom

=====

Record 18
DFT (GGA-PBEsol) results for InReBr2 after structural relaxation.

a b c (Å): 3.1163 3.1163 30.4904
angles (deg): 90.00 90.00 120.00
Closest atoms and distances in Å follow each position.
Space group R-3m (No. 166, hexagonal axes)
Asymmetric unit:
In1 0.0000 0.0000 0.0000 x3  6 In 3.12, 6 Br 3.26
Re1 0.0000 0.0000 0.5000 x3  2 Br 2.36
Br1 0.0000 0.0000 0.4226 x6  1 Re 2.36

Properties
- Total magnetization: 0.00 μB per formula unit
- E_form (uncorrected): 0.454 eV/atom
- Raw total energy: -4.56 eV/atom
- V: 21.4 Å³/atom

=====

Record 19
DFT (GGA-PBEsol) results for Co3AgF after structural relaxation.

a b c (Å): 3.9599 3.9599 3.9599
angles (deg): 90.00 90.00 90.00
Closest atoms and distances in Å follow each position.
Space group Pm-3m (No. 221)
Asymmetric unit:
Co1 0.0000 0.0000 0.5000 x3  2 F 1.98
Ag1 0.5000 0.5000 0.5000 x1  12 Co 2.80
F1 0.0000 0.0000 0.0000 x1  6 Co 1.98

Properties
- Total magnetization: 5.72 μB per formula unit
- E_form (uncorrected): 0.503 eV/atom
- Raw total energy: -5.19 eV/atom
- V: 12.4 Å³/atom

=====

Record 20
DFT (GGA-PBEsol) results for Na3FeO4 after structural relaxation.

a b c (Å): 5.9971 5.4631 7.1578
angles (deg): 90.00 92.77 90.00
Closest atoms and distances in Å follow each position.
Space group P2_1 (No. 4)
Asymmetric unit:
Na1 0.1420 0.0000 0.2440 x2  4 O 2.28-2.36
Na2 0.3239 0.5167 0.4876 x2  4 O 2.22-2.34
Na3 0.3279 0.4968 0.0043 x2  4 O 2.24-2.30
Fe1 0.1798 0.0159 0.7484 x2  4 O 1.70-1.72
O1 0.0902 0.4203 0.2346 x2  1 Fe 1.71
O2 0.2014 0.3249 0.7353 x2  1 Fe 1.70
O3 0.2966 0.9112 0.9574 x2  1 Fe 1.72
O4 0.3056 0.9370 0.5461 x2  1 Fe 1.72

Properties
- Total magnetization: 3.05 μB per formula unit
- E_form (uncorrected): -1.397 eV/atom
- Raw total energy: -5.67 eV/atom
- V: 14.6 Å³/atom

=====

Record 21
DFT (GGA-PBEsol) results for NiAgSe2 after structural relaxation.

a b c (Å): 3.5040 3.5040 19.5121
angles (deg): 90.00 90.00 120.00
Closest atoms and distances in Å follow each position.
Space group R-3m (No. 166, hexagonal axes)
Asymmetric unit:
Ni1 0.0000 0.0000 0.0000 x3  6 Se 2.41
Ag1 0.0000 0.0000 0.5000 x3  6 Se 2.81
Se1 0.0000 0.0000 0.2663 x6  3 Ni 2.41

Properties
- Total magnetization: 0.00 μB per formula unit
- E_form (uncorrected): -0.167 eV/atom
- Raw total energy: -4.46 eV/atom
- V: 17.3 Å³/atom